Entry 1:
Computed, not measured: a relaxed GePtI3 crystal at the PBE level of DFT.

The structure in POSCAR format:
```
GePtI3
1.0
5.656 0.000 0.000
0.000 5.656 0.000
0.000 0.000 5.656
Pt I Ge
1 3 1
Cartesian
2.828 2.828 2.828
0.000 2.828 0.000
0.000 0.000 2.828
2.828 0.000 0.000
0.000 0.000 0.000
```

Values from the calculation:
- Symmetry: Pm-3m (221)
- Formation energy (no corrections): 4.06 eV per formula unit
- Mass density: 5.95 Mg/m³
- ΔE to the lowest computed polymorph: 484.5 meV/atom


Entry 2:
Computed, not measured: a relaxed Cs2HgOsO4 crystal at the PBE level of DFT.

The structure in POSCAR format:
```
Cs2HgOsO4
1.0
7.551 0.000 0.000
3.776 6.584 0.000
3.776 0.000 10.689
Cs O Os Hg
4 8 2 2
Cartesian
9.439 3.292 1.341
9.439 3.292 9.348
7.551 0.000 4.003
3.776 0.000 6.685
12.010 4.500 5.931
6.346 1.208 10.102
4.458 2.084 4.758
6.346 5.377 0.587
6.869 2.084 5.931
4.981 1.208 0.587
6.869 4.500 4.758
12.533 5.377 10.102
3.776 0.000 0.000
5.664 3.292 5.344
9.439 3.292 5.344
0.000 0.000 0.000
```

Values from the calculation:
- Symmetry: Fddd (70)
- Formation energy (no corrections): -8.32 eV per formula unit
- Mass density: 4.50 Mg/m³


Entry 3:
Computed, not measured: a relaxed Na6HgPb2 crystal at the PBE level of DFT.

The structure in POSCAR format:
```
Na6HgPb2
1.0
-1.328 -1.185 -2.925
2.992 -8.491 2.107
-5.414 -5.746 4.813
Pb Na Hg
2 6 1
Cartesian
-1.615 -9.491 4.613
-2.135 -5.931 -0.617
-3.284 -7.251 2.451
-2.448 -2.489 0.171
-1.302 -12.933 3.824
0.345 -3.401 -0.728
-0.466 -8.171 1.544
-4.095 -12.021 4.723
0.000 0.000 0.000
```

Values from the calculation:
- Symmetry: C2/m (12)
- Mass density: 4.93 Mg/m³
- Energy relative to the elements: -0.13 eV per atom
- ΔE to the lowest computed polymorph: 21.4 meV/atom


Entry 4:
Computed, not measured: a relaxed GaIr2 crystal at the PBE level of DFT.

The structure in POSCAR format:
```
GaIr2
1.0
-1.499 0.906 -2.231
-10.314 -6.919 4.121
-1.482 3.696 2.496
Ir Ga
8 4
Cartesian
-8.115 -0.004 3.647
-8.773 -2.348 4.941
-3.035 -0.844 1.696
-8.942 -3.851 2.641
-2.208 3.003 2.702
-10.199 -4.703 4.943
-5.792 -0.791 1.767
-4.366 1.564 1.765
-2.297 1.408 0.311
-6.704 -2.505 3.487
-11.517 -2.433 4.947
-5.611 0.574 4.003
```

Values from the calculation:
- Symmetry: Cmc2_1 (36)
- Mass density: 17.29 Mg/m³
- Energy relative to the elements: -0.22 eV per atom


- Look up the mass density of the second one.
  4.50 Mg/m³